{"formula": "Fe2P", "functional": "PBE", "state": "optimized geometry", "cell": [[-0.7194, -1.9678, 4.1780], [0.2257, 0.4585, 4.6459], [-5.2635, 1.5095, 2.8041]], "species": ["Fe", "Fe", "Fe", "P", "Fe", "P"], "frac_coords": [[0.5907, 0.5907, 0.1343], [0.4093, 0.4093, 0.8657], [0.1332, 0.1332, 0.4783], [0.8329, 0.8329, 0.1971], [0.8668, 0.8668, 0.5217], [0.1671, 0.1671, 0.8029]], "delta_e_f_ev_per_atom": -0.2056}